VASP calculation (PBE) on a relaxed DyPuGa crystal.

Properties
Distance to the lowest polymorph of the same formula, eV/atom: 0.0000

Geometry as CIF:
```
data_DyPuGa
_chemical_formula_sum 'Dy2 Pu2 Ga2'
_cell_length_a 3.5902
_cell_length_b 3.5902
_cell_length_c 11.7639
_cell_angle_alpha 90.00
_cell_angle_beta 90.00
_cell_angle_gamma 90.00
_space_group_name_H-M_alt 'I 4 m m'
_space_group_IT_number 107
_space_group_name_Hall 'I 4 -2'
loop_
_atom_site_label
_atom_site_type_symbol
_atom_site_fract_x
_atom_site_fract_y
_atom_site_fract_z
Dy1 Dy 0.0000 0.0000 0.0000
Pu1 Pu 0.0000 0.0000 0.2936
Ga1 Ga 0.0000 0.0000 0.6445
```

***

VASP calculation (PBE) on a relaxed Li2Ge3Pd4 crystal.

Properties
Distance to the lowest polymorph of the same formula, eV/atom: 0.0000

Geometry as CIF:
```
data_Li2Ge3Pd4
_chemical_formula_sum 'Li4 Ge6 Pd8'
_cell_length_a 7.4513
_cell_length_b 4.5443
_cell_length_c 8.1927
_cell_angle_alpha 90.00
_cell_angle_beta 100.63
_cell_angle_gamma 90.00
_space_group_name_H-M_alt 'C 1 2/m 1'
_space_group_IT_number 12
_space_group_name_Hall '-C 2y'
loop_
_atom_site_label
_atom_site_type_symbol
_atom_site_fract_x
_atom_site_fract_y
_atom_site_fract_z
Li1 Li 0.1362 0.0000 0.2648
Ge1 Ge 0.0000 0.5000 0.5000
Ge2 Ge 0.2203 0.0000 0.9060
Pd1 Pd 0.0385 0.5000 0.8227
Pd2 Pd 0.1826 0.0000 0.5952
```

***

VASP calculation (PBE) on a relaxed La2TbPrSb4 crystal.

Geometry as CIF:
```
data_La2TbPrSb4
_chemical_formula_sum 'La2 Tb1 Pr1 Sb4'
_cell_length_a 7.8851
_cell_length_b 4.5592
_cell_length_c 7.8892
_cell_angle_alpha 90.00
_cell_angle_beta 109.49
_cell_angle_gamma 90.00
_space_group_name_H-M_alt 'P 1 2/m 1'
_space_group_IT_number 10
_space_group_name_Hall '-P 2y'
loop_
_atom_site_label
_atom_site_type_symbol
_atom_site_fract_x
_atom_site_fract_y
_atom_site_fract_z
La1 La 0.0000 0.0000 0.0000
La2 La 0.0000 0.5000 0.5000
Tb1 Tb 0.5000 0.0000 0.5000
Pr1 Pr 0.5000 0.5000 0.0000
Sb1 Sb 0.2558 0.0000 0.7475
Sb2 Sb 0.2589 0.5000 0.2573
```

***

VASP calculation (PBE) on a relaxed Sc4PdPt5 crystal.

Geometry as CIF:
```
data_Sc4PdPt5
_chemical_formula_sum 'Sc8 Pd2 Pt10'
_cell_length_a 15.1206
_cell_length_b 4.4245
_cell_length_c 5.4447
_cell_angle_alpha 90.00
_cell_angle_beta 99.96
_cell_angle_gamma 90.00
_space_group_name_H-M_alt 'C 1 2/m 1'
_space_group_IT_number 12
_space_group_name_Hall '-C 2y'
loop_
_atom_site_label
_atom_site_type_symbol
_atom_site_fract_x
_atom_site_fract_y
_atom_site_fract_z
Sc1 Sc 0.1106 0.0000 0.2905
Sc2 Sc 0.1746 0.5000 0.8292
Pd1 Pd 0.0000 0.5000 0.5000
Pt1 Pt 0.0000 0.5000 0.0000
Pt2 Pt 0.0702 0.0000 0.7743
Pt3 Pt 0.2329 0.5000 0.3359
```

***

VASP calculation (PBE) on a relaxed LiAl2SiNi crystal.

Geometry as CIF:
```
data_LiAl2SiNi
_chemical_formula_sum 'Li1 Al2 Si1 Ni1'
_cell_length_a 4.6832
_cell_length_b 4.6832
_cell_length_c 4.4512
_cell_angle_alpha 90.00
_cell_angle_beta 90.00
_cell_angle_gamma 90.00
_space_group_name_H-M_alt 'P 4/m m m'
_space_group_IT_number 123
_space_group_name_Hall '-P 4 2'
loop_
_atom_site_label
_atom_site_type_symbol
_atom_site_fract_x
_atom_site_fract_y
_atom_site_fract_z
Li1 Li 0.0000 0.0000 0.0000
Al1 Al 0.0000 0.5000 0.5000
Si1 Si 0.0000 0.0000 0.5000
Ni1 Ni 0.5000 0.5000 0.0000
```

***

VASP calculation (PBE) on a relaxed RbLiZn2O3 crystal.

Geometry as CIF:
```
data_RbLiZn2O3
_chemical_formula_sum 'Rb4 Li4 Zn8 O12'
_cell_length_a 10.4956
_cell_length_b 10.4956
_cell_length_c 3.4730
_cell_angle_alpha 90.00
_cell_angle_beta 90.00
_cell_angle_gamma 90.00
_space_group_name_H-M_alt 'P 42/m n m'
_space_group_IT_number 136
_space_group_name_Hall '-P 4n 2n'
loop_
_atom_site_label
_atom_site_type_symbol
_atom_site_fract_x
_atom_site_fract_y
_atom_site_fract_z
Rb1 Rb 0.1096 0.1096 0.0000
Li1 Li 0.2015 0.7985 0.0000
Zn1 Zn 0.0733 0.6717 0.5000
O1 O 0.1137 0.3446 0.5000
O2 O 0.1416 0.8584 0.5000
```

***

VASP calculation (PBE) on a relaxed TbY3Bi4 crystal.

Properties
Distance to the lowest polymorph of the same formula, eV/atom: 0.0000

Geometry as CIF:
```
data_TbY3Bi4
_chemical_formula_sum 'Tb1 Y3 Bi4'
_cell_length_a 6.3389
_cell_length_b 6.3389
_cell_length_c 6.3389
_cell_angle_alpha 90.00
_cell_angle_beta 90.00
_cell_angle_gamma 90.00
_space_group_name_H-M_alt 'P m -3 m'
_space_group_IT_number 221
_space_group_name_Hall '-P 4 2 3'
loop_
_atom_site_label
_atom_site_type_symbol
_atom_site_fract_x
_atom_site_fract_y
_atom_site_fract_z
Tb1 Tb 0.0000 0.0000 0.0000
Y1 Y 0.0000 0.5000 0.5000
Bi1 Bi 0.0000 0.0000 0.5000
Bi2 Bi 0.5000 0.5000 0.5000
```

***

VASP calculation (PBE) on a relaxed Nd3Dy2Th crystal.

Properties
Distance to the lowest polymorph of the same formula, eV/atom: 0.1922

Geometry as CIF:
```
data_Nd3Dy2Th
_chemical_formula_sum 'Nd12 Dy8 Th4'
_cell_length_a 9.4865
_cell_length_b 13.2491
_cell_length_c 6.5576
_cell_angle_alpha 90.00
_cell_angle_beta 90.00
_cell_angle_gamma 90.00
_space_group_name_H-M_alt 'C m c 21'
_space_group_IT_number 36
_space_group_name_Hall 'C 2c -2'
loop_
_atom_site_label
_atom_site_type_symbol
_atom_site_fract_x
_atom_site_fract_y
_atom_site_fract_z
Nd1 Nd 0.0000 0.0854 0.0000
Nd2 Nd 0.1835 0.3213 0.7752
Dy1 Dy 0.1810 0.4249 0.2594
Th1 Th 0.0000 0.1719 0.4828
```

***

VASP calculation (PBE) on a relaxed MgZn3Pd crystal.

Properties
Distance to the lowest polymorph of the same formula, eV/atom: 0.0000

Geometry as CIF:
```
data_MgZn3Pd
_chemical_formula_sum 'Mg2 Zn6 Pd2'
_cell_length_a 4.9687
_cell_length_b 5.1775
_cell_length_c 6.3643
_cell_angle_alpha 90.00
_cell_angle_beta 91.33
_cell_angle_gamma 90.00
_space_group_name_H-M_alt 'P 1 21/m 1'
_space_group_IT_number 11
_space_group_name_Hall '-P 2yb'
loop_
_atom_site_label
_atom_site_type_symbol
_atom_site_fract_x
_atom_site_fract_y
_atom_site_fract_z
Mg1 Mg 0.1376 0.2500 0.2852
Zn1 Zn 0.3530 0.0088 0.8232
Zn2 Zn 0.3693 0.7500 0.4716
Pd1 Pd 0.1159 0.7500 0.1210
```

***

VASP calculation (PBE) on a relaxed Mg3ReRh crystal.

Properties
Distance to the lowest polymorph of the same formula, eV/atom: 0.4606

Geometry as CIF:
```
data_Mg3ReRh
_chemical_formula_sum 'Mg3 Re1 Rh1'
_cell_length_a 4.9471
_cell_length_b 4.9471
_cell_length_c 4.9471
_cell_angle_alpha 90.00
_cell_angle_beta 90.00
_cell_angle_gamma 90.00
_space_group_name_H-M_alt 'P m -3 m'
_space_group_IT_number 221
_space_group_name_Hall '-P 4 2 3'
loop_
_atom_site_label
_atom_site_type_symbol
_atom_site_fract_x
_atom_site_fract_y
_atom_site_fract_z
Mg1 Mg 0.0000 0.0000 0.5000
Re1 Re 0.0000 0.0000 0.0000
Rh1 Rh 0.5000 0.5000 0.5000
```

***

VASP calculation (PBE) on a relaxed DyHo3Ga8 crystal.

Geometry as CIF:
```
data_DyHo3Ga8
_chemical_formula_sum 'Dy3 Ho9 Ga24'
_cell_length_a 5.4729
_cell_length_b 5.4729
_cell_length_c 27.1793
_cell_angle_alpha 90.00
_cell_angle_beta 90.00
_cell_angle_gamma 120.00
_space_group_name_H-M_alt 'R 3 m'
_space_group_IT_number 160
_space_group_name_Hall 'R 3 -2"'
loop_
_atom_site_label
_atom_site_type_symbol
_atom_site_fract_x
_atom_site_fract_y
_atom_site_fract_z
Dy1 Dy 0.0000 0.0000 0.0000
Ho1 Ho 0.0000 0.0000 0.1239
Ho2 Ho 0.0000 0.0000 0.5001
Ho3 Ho 0.0000 0.0000 0.6238
Ga1 Ga 0.0000 0.0000 0.3119
Ga2 Ga 0.0000 0.0000 0.8120
Ga3 Ga 0.0000 0.5000 0.0621
Ga4 Ga 0.9999 0.5000 0.5618
```

***

VASP calculation (PBE) on a relaxed KOs crystal.

Properties
Distance to the lowest polymorph of the same formula, eV/atom: 2.4087

Geometry as CIF:
```
data_KOs
_chemical_formula_sum 'K2 Os2'
_cell_length_a 5.8891
_cell_length_b 5.8891
_cell_length_c 6.5846
_cell_angle_alpha 90.00
_cell_angle_beta 90.00
_cell_angle_gamma 120.00
_space_group_name_H-M_alt 'P 63/m m c'
_space_group_IT_number 194
_space_group_name_Hall '-P 6c 2c'
loop_
_atom_site_label
_atom_site_type_symbol
_atom_site_fract_x
_atom_site_fract_y
_atom_site_fract_z
K1 K 0.3333 0.6667 0.2500
Os1 Os 0.3333 0.6667 0.7500
```

***

VASP calculation (PBE) on a relaxed Li2In2Pb5 crystal.

Geometry as CIF:
```
data_Li2In2Pb5
_chemical_formula_sum 'Li8 In8 Pb20'
_cell_length_a 15.1109
_cell_length_b 9.3360
_cell_length_c 7.0019
_cell_angle_alpha 90.00
_cell_angle_beta 90.00
_cell_angle_gamma 90.00
_space_group_name_H-M_alt 'I m a 2'
_space_group_IT_number 46
_space_group_name_Hall 'I 2 -2a'
loop_
_atom_site_label
_atom_site_type_symbol
_atom_site_fract_x
_atom_site_fract_y
_atom_site_fract_z
Li1 Li 0.0000 0.0000 0.0000
Li2 Li 0.2500 0.0355 0.6254
In1 In 0.1390 0.5245 0.7872
Pb1 Pb 0.0488 0.6808 0.1485
Pb2 Pb 0.1420 0.2063 0.9351
Pb3 Pb 0.2500 0.6922 0.4380
```

***

VASP calculation (PBE) on a relaxed ZrHg2As crystal.

Geometry as CIF:
```
data_ZrHg2As
_chemical_formula_sum 'Zr3 Hg6 As3'
_cell_length_a 3.2397
_cell_length_b 3.2397
_cell_length_c 29.1679
_cell_angle_alpha 90.00
_cell_angle_beta 90.00
_cell_angle_gamma 120.00
_space_group_name_H-M_alt 'R -3 m'
_space_group_IT_number 166
_space_group_name_Hall '-R 3 2"'
loop_
_atom_site_label
_atom_site_type_symbol
_atom_site_fract_x
_atom_site_fract_y
_atom_site_fract_z
Zr1 Zr 0.0000 0.0000 0.0000
Hg1 Hg 0.0000 0.0000 0.2493
As1 As 0.0000 0.0000 0.5000
```

***

VASP calculation (PBE) on a relaxed Ta2BeW crystal.

Geometry as CIF:
```
data_Ta2BeW
_chemical_formula_sum 'Ta2 Be1 W1'
_cell_length_a 2.7554
_cell_length_b 4.4344
_cell_length_c 5.2992
_cell_angle_alpha 90.00
_cell_angle_beta 98.98
_cell_angle_gamma 90.00
_space_group_name_H-M_alt 'P 1 2/m 1'
_space_group_IT_number 10
_space_group_name_Hall '-P 2y'
loop_
_atom_site_label
_atom_site_type_symbol
_atom_site_fract_x
_atom_site_fract_y
_atom_site_fract_z
Ta1 Ta 0.2371 0.0000 0.2534
Be1 Be 0.0000 0.5000 0.5000
W1 W 0.5000 0.5000 0.0000
```

***

VASP calculation (PBE) on a relaxed MoPb crystal.

Properties
Distance to the lowest polymorph of the same formula, eV/atom: 0.1964

Geometry as CIF:
```
data_MoPb
_chemical_formula_sum 'Mo6 Pb6'
_cell_length_a 12.1684
_cell_length_b 3.2863
_cell_length_c 6.8578
_cell_angle_alpha 90.00
_cell_angle_beta 93.83
_cell_angle_gamma 90.00
_space_group_name_H-M_alt 'C 1 m 1'
_space_group_IT_number 8
_space_group_name_Hall 'C -2y'
loop_
_atom_site_label
_atom_site_type_symbol
_atom_site_fract_x
_atom_site_fract_y
_atom_site_fract_z
Mo1 Mo 0.0000 0.0000 0.0000
Mo2 Mo 0.0905 0.5000 0.2389
Mo3 Mo 0.1982 0.5000 0.9575
Pb1 Pb 0.0955 0.0000 0.6223
Pb2 Pb 0.3341 0.0000 0.2434
Pb3 Pb 0.3558 0.0000 0.7176
```

***

VASP calculation (PBE) on a relaxed Sr2OsRhSe crystal.

Geometry as CIF:
```
data_Sr2OsRhSe
_chemical_formula_sum 'Sr2 Os1 Rh1 Se1'
_cell_length_a 5.8121
_cell_length_b 5.8121
_cell_length_c 4.5765
_cell_angle_alpha 90.00
_cell_angle_beta 90.00
_cell_angle_gamma 90.00
_space_group_name_H-M_alt 'P 4/m m m'
_space_group_IT_number 123
_space_group_name_Hall '-P 4 2'
loop_
_atom_site_label
_atom_site_type_symbol
_atom_site_fract_x
_atom_site_fract_y
_atom_site_fract_z
Sr1 Sr 0.0000 0.5000 0.0000
Os1 Os 0.0000 0.0000 0.0000
Rh1 Rh 0.0000 0.0000 0.5000
Se1 Se 0.5000 0.5000 0.5000
```

***

VASP calculation (PBE) on a relaxed Dy2PuCo2 crystal.

Geometry as CIF:
```
data_Dy2PuCo2
_chemical_formula_sum 'Dy8 Pu4 Co8'
_cell_length_a 10.0561
_cell_length_b 5.8423
_cell_length_c 7.2360
_cell_angle_alpha 90.00
_cell_angle_beta 100.77
_cell_angle_gamma 90.00
_space_group_name_H-M_alt 'C 1 2/c 1'
_space_group_IT_number 15
_space_group_name_Hall '-C 2yc'
loop_
_atom_site_label
_atom_site_type_symbol
_atom_site_fract_x
_atom_site_fract_y
_atom_site_fract_z
Dy1 Dy 0.1513 0.1181 0.1486
Pu1 Pu 0.0000 0.4022 0.7500
Co1 Co 0.1498 0.3541 0.5099
```

***

VASP calculation (PBE) on a relaxed Cu2As2Se3 crystal.

Geometry as CIF:
```
data_Cu2As2Se3
_chemical_formula_sum 'Cu4 As4 Se6'
_cell_length_a 6.0871
_cell_length_b 7.0895
_cell_length_c 7.2805
_cell_angle_alpha 90.00
_cell_angle_beta 115.85
_cell_angle_gamma 90.00
_space_group_name_H-M_alt 'P 1 21/c 1'
_space_group_IT_number 14
_space_group_name_Hall '-P 2ybc'
loop_
_atom_site_label
_atom_site_type_symbol
_atom_site_fract_x
_atom_site_fract_y
_atom_site_fract_z
Cu1 Cu 0.0706 0.1474 0.4383
As1 As 0.3237 0.6806 0.6130
Se1 Se 0.1923 0.0631 0.8345
Se2 Se 0.5000 0.0000 0.5000
```

***

VASP calculation (PBE) on a relaxed Ti2SnPd crystal.

Geometry as CIF:
```
data_Ti2SnPd
_chemical_formula_sum 'Ti2 Sn1 Pd1'
_cell_length_a 2.9779
_cell_length_b 2.9779
_cell_length_c 7.8892
_cell_angle_alpha 90.00
_cell_angle_beta 90.00
_cell_angle_gamma 90.00
_space_group_name_H-M_alt 'P 4/m m m'
_space_group_IT_number 123
_space_group_name_Hall '-P 4 2'
loop_
_atom_site_label
_atom_site_type_symbol
_atom_site_fract_x
_atom_site_fract_y
_atom_site_fract_z
Ti1 Ti 0.0000 0.0000 0.2288
Sn1 Sn 0.5000 0.5000 0.5000
Pd1 Pd 0.5000 0.5000 0.0000
```

***

VASP calculation (PBE) on a relaxed CsCuRhF6 crystal.

Geometry as CIF:
```
data_CsCuRhF6
_chemical_formula_sum 'Cs4 Cu4 Rh4 F24'
_cell_length_a 7.3678
_cell_length_b 7.4479
_cell_length_c 10.8009
_cell_angle_alpha 90.00
_cell_angle_beta 90.00
_cell_angle_gamma 90.00
_space_group_name_H-M_alt 'I m m a'
_space_group_IT_number 74
_space_group_name_Hall '-I 2b 2'
loop_
_atom_site_label
_atom_site_type_symbol
_atom_site_fract_x
_atom_site_fract_y
_atom_site_fract_z
Cs1 Cs 0.0000 0.2500 0.1104
Cu1 Cu 0.2500 0.2500 0.7500
Rh1 Rh 0.0000 0.0000 0.5000
F1 F 0.0000 0.2500 0.4256
F2 F 0.0000 0.2500 0.8099
F3 F 0.2004 0.0486 0.6206
```

***

VASP calculation (PBE) on a relaxed BiPS2N crystal.

Properties
Distance to the lowest polymorph of the same formula, eV/atom: 1.1943

Geometry as CIF:
```
data_BiPS2N
_chemical_formula_sum 'Bi1 P1 S2 N1'
_cell_length_a 5.2344
_cell_length_b 5.2344
_cell_length_c 4.1237
_cell_angle_alpha 90.00
_cell_angle_beta 90.00
_cell_angle_gamma 90.00
_space_group_name_H-M_alt 'P 4/m m m'
_space_group_IT_number 123
_space_group_name_Hall '-P 4 2'
loop_
_atom_site_label
_atom_site_type_symbol
_atom_site_fract_x
_atom_site_fract_y
_atom_site_fract_z
Bi1 Bi 0.0000 0.0000 0.0000
P1 P 0.5000 0.5000 0.5000
S1 S 0.0000 0.5000 0.0000
N1 N 0.0000 0.0000 0.5000
```

***

VASP calculation (PBE) on a relaxed Cs3Cd7Au4 crystal.

Geometry as CIF:
```
data_Cs3Cd7Au4
_chemical_formula_sum 'Cs6 Cd14 Au8'
_cell_length_a 18.7618
_cell_length_b 4.9754
_cell_length_c 12.4581
_cell_angle_alpha 90.00
_cell_angle_beta 130.31
_cell_angle_gamma 90.00
_space_group_name_H-M_alt 'C 1 2/m 1'
_space_group_IT_number 12
_space_group_name_Hall '-C 2y'
loop_
_atom_site_label
_atom_site_type_symbol
_atom_site_fract_x
_atom_site_fract_y
_atom_site_fract_z
Cs1 Cs 0.0000 0.0000 0.0000
Cs2 Cs 0.2178 0.5000 0.7112
Cd1 Cd 0.0000 0.0000 0.5000
Cd2 Cd 0.0024 0.5000 0.7091
Cd3 Cd 0.1093 0.0000 0.3937
Cd4 Cd 0.1940 0.5000 0.9812
Au1 Au 0.1041 0.0000 0.8121
Au2 Au 0.1908 0.5000 0.4105
```

***

no.,calculated total energy (eV/cell),Fermi-level density of states (states/eV per atom)
1,-45.23,2.26
2,-86.27,0.33
3,-45.50,0.12
4,-143.83,0.47
5,-17.12,0.89
6,-122.99,0.00
7,-46.73,0.06
8,-117.89,1.66
9,-24.20,0.30
10,-17.63,1.06
11,-147.46,0.57
12,-12.23,2.47
13,-113.24,0.46
14,-40.26,0.62
15,-39.61,0.79
16,-80.97,0.67
17,-24.82,0.68
18,-154.61,2.00
19,-54.58,0.40
20,-26.38,0.96
21,-161.80,0.44
22,-18.00,1.07
23,-49.08,0.34